No. 1
First-principles (PBE) data for YIr2Rh after structural relaxation, as listed in Alexandria via LeMat-Bulk.

a b c (Å): 2.9264 4.6761 5.1564
angles (deg): 90.00 102.95 90.00
Last column: nearest neighbours and their distance in Å.
Positions (direct):
Y1 0.0000 0.0000 0.0000  2 Rh 2.66, 2 Y 2.93
Ir1 0.3555 0.5000 0.7241  5 Ir 2.63-2.93, 2 Rh 2.68
Ir2 0.6445 0.5000 0.2759  5 Ir 2.63-2.93, 2 Rh 2.68
Rh1 0.5000 0.0000 0.5000  2 Y 2.66, 4 Ir 2.68, 2 Rh 2.93

Output
Energy relative to the elements, eV per atom: -0.18

=====

No. 2
First-principles (PBE) data for KSrI2N after structural relaxation, as listed in Alexandria via LeMat-Bulk.

a b c (Å): 6.3927 6.3927 5.0030
angles (deg): 90.00 90.00 90.00
Last column: nearest neighbours and their distance in Å.
Positions (direct):
K1 0.0000 0.0000 0.0000  2 N 2.50
Sr1 0.5000 0.5000 0.5000  8 I 4.06, 4 N 4.52
I1 0.0000 0.5000 0.0000  2 K 3.20
I2 0.5000 0.0000 0.0000  2 K 3.20
N1 0.0000 0.0000 0.5000  2 K 2.50

Output
Formation energy (no corrections), eV per formula unit: 0.13

=====

no.,ρ (Mg/m³),energy above the most stable polymorph in this dataset (eV per atom)
1,13.9,0.2291
2,3.2,0.5705